Material: BaInSCl2
Method: DFT, meta-GGA SCAN
State: single point on PBEsol structure

```
BaInSCl2
1.0
-1.007 -5.569 1.429
4.106 0.319 4.137
-4.061 1.734 3.896
S Cl Ba In
1 2 1 1
direct
0.000 0.000 0.500
0.000 0.500 0.000
0.500 0.000 0.000
0.000 0.000 0.000
0.500 0.500 0.500
```

Computed properties:
crystal system = tetragonal
formation energy from raw total energies = -5.56 eV/f.u.
calculated volume = 200.6 Å³ per cell